No. 1
Cs3K2Bi2Au4 after structural relaxation, computed with GGA-PBE.

Symmetry ... I4/mmm
DFT formation energy ... -0.1982 eV/atom

Cell: 5.556 5.556 17.514 Å, 99.13 99.13 90.00°
Fractional positions:
Cs  0.000  0.000  0.000
Cs  0.142  0.142  0.283
Cs  0.858  0.858  0.717
K  0.711  0.711  0.422
K  0.289  0.289  0.578
Au  0.423  0.923  0.846
Au  0.577  0.077  0.154
Au  0.923  0.423  0.846
Au  0.077  0.577  0.154
Bi  0.595  0.595  0.190
Bi  0.405  0.405  0.810

No. 2
Hf2HgOs after structural relaxation, computed with GGA-PBE.

Symmetry ... I-42d
DFT formation energy ... 0.2365 eV/atom

Cell: 7.649 7.649 6.128 Å, 51.38 51.38 90.00°
Fractional positions:
Hf  0.167  0.625  0.250
Hf  0.875  0.833  0.750
Hf  0.375  0.417  0.750
Hf  0.583  0.125  0.250
Os  0.500  0.500  0.000
Os  0.250  0.750  0.500
Hg  0.000  0.000  0.000
Hg  0.750  0.250  0.500

No. 3
LiLa2BN after structural relaxation, computed with GGA-PBE.

Symmetry ... P4/mmm
Raw formation energy ... 0.411 eV per atom

Cell: 5.193 3.321 5.193 Å, 90.00 90.00 90.00°
Fractional positions:
La  0.000  0.000  0.500
La  0.500  0.000  0.000
Li  0.000  0.000  0.000
N  0.000  0.500  0.000
B  0.500  0.500  0.500

No. 4
HgAu2F after structural relaxation, computed with GGA-PBE.

Symmetry ... Fm-3m
Raw formation energy ... -0.174 eV per atom

Cell: 4.649 4.649 4.649 Å, 60.00 60.00 60.00°
Fractional positions:
Hg  0.500  0.500  0.500
Au  0.750  0.750  0.750
Au  0.250  0.250  0.250
F  0.000  0.000  0.000

No. 5
BeSbIr3 after structural relaxation, computed with GGA-PBE.

Symmetry ... Pm-3m
Raw formation energy ... 1.933 eV per atom

Cell: 4.815 4.815 4.815 Å, 90.00 90.00 90.00°
Fractional positions:
Sb  0.000  0.000  0.000
Ir  0.500  0.000  0.000
Ir  0.000  0.000  0.500
Ir  0.000  0.500  0.000
Be  0.500  0.500  0.500

No. 6
NaNiGe2Pb after structural relaxation, computed with GGA-PBE.

Symmetry ... P4/mmm
DFT formation energy ... 0.9793 eV/atom

Cell: 5.046 4.679 5.046 Å, 90.00 90.00 90.00°
Fractional positions:
Pb  0.500  0.500  0.500
Ni  0.000  0.500  0.000
Na  0.000  0.000  0.000
Ge  0.000  0.000  0.500
Ge  0.500  0.000  0.000

No. 7
TlHgSe after structural relaxation, computed with GGA-PBE.

Symmetry ... P-1
Raw formation energy ... -0.229 eV per atom

Cell: 4.401 7.378 6.221 Å, 97.74 110.75 90.09°
Fractional positions:
Se  0.309  0.244  0.617
Se  0.691  0.756  0.383
Hg  0.895  0.066  0.789
Hg  0.105  0.934  0.211
Tl  0.380  0.678  0.759
Tl  0.620  0.322  0.241

No. 8
Co2TcPt after structural relaxation, computed with GGA-PBE.

Symmetry ... P4/mmm
DFT formation energy ... 0.1301 eV/atom

Cell: 3.068 3.068 5.570 Å, 90.00 90.00 90.00°
Site moments in Bohr magnetons follow the coordinates.
Fractional positions:
Tc  0.500  0.500  0.750  0.36
Co  0.000  0.000  0.986  1.36
Co  0.000  0.000  0.514  1.36
Pt  0.500  0.500  0.250  0.06

No. 9
Pr4Tl2Pt after structural relaxation, computed with GGA-PBE.

Symmetry ... C2/m
DFT formation energy ... -0.4322 eV/atom

Cell: 4.046 6.672 9.368 Å, 112.79 102.47 90.00°
Fractional positions:
Pr  0.383  0.736  0.766
Pr  0.617  0.264  0.234
Pr  0.090  0.735  0.181
Pr  0.910  0.265  0.819
Pt  0.000  0.000  0.000
Tl  0.258  0.206  0.516
Tl  0.742  0.794  0.484

No. 10
SiTcAg4 after structural relaxation, computed with GGA-PBE.

Symmetry ... F-43m
Raw formation energy ... 0.776 eV per atom

Cell: 5.412 5.412 5.412 Å, 60.00 60.00 60.00°
Site moments in Bohr magnetons follow the coordinates.
Fractional positions:
Si  0.250  0.250  0.250  -0.03
Ag  0.625  0.625  0.625  0.04
Ag  0.625  0.625  0.124  0.04
Ag  0.625  0.124  0.625  0.04
Ag  0.124  0.625  0.625  0.04
Tc  0.000  0.000  0.000  2.96

Computed values of magnetization (unit: μB/atom) for the preceding records, in sequence: 0.000, 0.000, 0.000, 0.000, 0.000, 0.000, 0.000, 0.791, 0.000, 0.580.